HoH2ClO2 | PBE | relaxed

Results
space-group type	P2_1/m (11)
final energy	-71.4	eV per cell

abc: 6.310 3.589 6.636
angles: 90.00 104.52 90.00
Fractional positions:
Ho (0.222, 0.250, 0.395)
Ho (0.778, 0.750, 0.605)
H (0.124, 0.250, 0.805)
H (0.375, 0.750, 0.736)
H (0.625, 0.250, 0.264)
H (0.876, 0.750, 0.195)
Cl (0.272, 0.750, 0.077)
Cl (0.728, 0.250, 0.923)
O (0.040, 0.250, 0.659)
O (0.395, 0.750, 0.594)
O (0.605, 0.250, 0.406)
O (0.960, 0.750, 0.341)



Rb2HoHCl6 | PBE | relaxed

Results
space-group type	Immm (71)
final energy	-38.6	eV per cell

abc: 7.229 7.229 7.229
angles: 110.54 110.34 107.55
Fractional positions:
Rb (0.250, 0.250, 0.000)
Rb (0.750, 0.750, 0.000)
Ho (0.500, 0.000, 0.500)
H (0.000, 0.500, 0.500)
Cl (0.182, 0.682, 0.500)
Cl (0.278, 0.222, 0.501)
Cl (0.278, 0.778, 0.056)
Cl (0.722, 0.222, 0.944)
Cl (0.722, 0.778, 0.499)
Cl (0.818, 0.318, 0.500)



H2ICl8 | PBE | relaxed

Results
space-group type	C2/m (12)
final energy	-25.2	eV per cell

abc: 6.948 6.948 8.900
angles: 91.83 91.83 65.95
Fractional positions:
H (0.240, 0.240, 0.399)
H (0.760, 0.760, 0.601)
I (0.500, 0.500, 0.000)
Cl (0.020, 0.020, 0.392)
Cl (0.143, 0.605, 0.887)
Cl (0.351, 0.351, 0.400)
Cl (0.395, 0.857, 0.113)
Cl (0.605, 0.143, 0.887)
Cl (0.649, 0.649, 0.600)
Cl (0.857, 0.395, 0.113)
Cl (0.980, 0.980, 0.608)



HICl6 | PBE | relaxed

Results
space-group type	P1 (1)
final energy	-17.5	eV per cell

abc: 6.368 7.172 7.243
angles: 111.12 105.42 99.54
Fractional positions:
H (0.000, 0.000, 0.000)
I (0.431, 0.699, 0.891)
Cl (0.142, 0.435, 0.876)
Cl (0.171, 0.737, 0.597)
Cl (0.315, 0.973, 0.150)
Cl (0.540, 0.440, 0.641)
Cl (0.703, 0.682, 0.192)
Cl (0.813, 0.048, 0.920)



HICl | PBE | relaxed

Results
polymorph energy (0 for the lowest one)	0.00	eV per formula unit
space-group type	P-1 (2)
final energy	-14.9	eV per cell

abc: 3.173 7.007 9.473
angles: 85.15 82.41 79.90
Fractional positions:
H (0.155, 0.166, 0.353)
H (0.845, 0.834, 0.647)
I (0.465, 0.205, 0.891)
I (0.535, 0.795, 0.109)
Cl (0.231, 0.740, 0.612)
Cl (0.769, 0.260, 0.388)



H3ICl | PBE | relaxed

Results
polymorph energy (0 for the lowest one)	2.60	eV per formula unit
space-group type	Pm-3m (221)
final energy	-10.9	eV per cell

abc: 3.980 3.980 3.980
angles: 90.00 90.00 90.00
Fractional positions:
H (0.000, 0.000, 0.500)
H (0.000, 0.500, 0.000)
H (0.500, 0.000, 0.000)
I (0.000, 0.000, 0.000)
Cl (0.500, 0.500, 0.500)